No. 1
{
  "formula": "SrAgPt",
  "functional": "PBE",
  "state": "relaxed",
  "polymorph_energy_ev_per_atom": 0.000,
  "space_group": "F-43m, No. 216",
  "cell": [[-2.319, -4.041, -1.325], [-2.416, -2.597, 3.298], [-4.842, -0.101, -0.070]],
  "species": ["Ag", "Pt", "Sr"],
  "fractional_positions": [[0.250, 0.250, 0.250], [0.000, 0.000, 0.000], [0.750, 0.750, 0.750]]
}

***

No. 2
{
  "formula": "SrAg2Pt3",
  "functional": "PBE",
  "state": "relaxed",
  "final_energy_ev_per_atom": -4.666,
  "space_group": "P6/mmm, No. 191",
  "cell": [[-2.821, -1.852, -4.351], [-2.215, -0.269, 5.034], [-1.826, 4.148, -0.582]],
  "species": ["Ag", "Ag", "Pt", "Pt", "Pt", "Sr"],
  "fractional_positions": [[0.667, 0.333, 0.000], [0.333, 0.667, 0.000], [0.500, 0.000, 0.500], [0.000, 0.500, 0.500], [0.500, 0.500, 0.500], [0.000, 0.000, 0.000]]
}

***

No. 3
{
  "formula": "TaAgPt",
  "functional": "PBE",
  "state": "relaxed",
  "polymorph_energy_ev_per_atom": 0.159,
  "e_form_ev_per_fu": 0.98,
  "space_group": "F-43m, No. 216",
  "cell": [[1.168, -2.784, 3.190], [-0.659, 1.079, 4.206], [-3.083, -2.074, 2.342]],
  "species": ["Ag", "Pt", "Ta"],
  "fractional_positions": [[0.250, 0.250, 0.250], [0.750, 0.750, 0.750], [0.000, 0.000, 0.000]]
}

***

No. 4
{
  "formula": "TbAgPt4",
  "functional": "PBE",
  "state": "relaxed",
  "e_form_ev_per_fu": -4.37,
  "space_group": "F-43m, No. 216",
  "cell": [[0.000, 3.793, 3.793], [3.793, 0.000, 3.793], [3.793, 3.793, 0.000]],
  "species": ["Ag", "Pt", "Pt", "Pt", "Pt", "Tb"],
  "fractional_positions": [[0.000, 0.000, 0.000], [0.625, 0.625, 0.124], [0.625, 0.124, 0.625], [0.124, 0.625, 0.625], [0.625, 0.625, 0.625], [0.250, 0.250, 0.250]]
}

***

No. 5
{
  "formula": "TbAgPt",
  "functional": "PBE",
  "state": "relaxed",
  "e_form_ev_per_fu": -2.00,
  "space_group": "F-43m, No. 216",
  "cell": [[0.000, 3.291, 3.291], [3.291, 0.000, 3.291], [3.291, 3.291, 0.000]],
  "species": ["Ag", "Pt", "Tb"],
  "fractional_positions": [[0.250, 0.250, 0.250], [0.000, 0.000, 0.000], [0.750, 0.750, 0.750]]
}

***

No. 6
{
  "formula": "TbTm2Tl3AgPt2",
  "functional": "PBE",
  "state": "relaxed",
  "final_energy_ev_per_atom": -4.606,
  "space_group": "Amm2, No. 38",
  "cell": [[-2.121, -2.658, -1.551], [-0.190, -3.876, 6.904], [-5.537, 5.404, -1.692]],
  "species": ["Ag", "Pt", "Pt", "Tb", "Tl", "Tl", "Tl", "Tm", "Tm"],
  "fractional_positions": [[0.000, 0.999, 0.999], [0.500, 0.669, 0.332], [0.500, 0.332, 0.669], [0.000, 0.410, 0.410], [0.500, 0.999, 0.271], [0.500, 0.729, 0.729], [0.500, 0.271, 0.999], [0.000, 0.590, 0.000], [0.000, 0.000, 0.590]]
}

***

No. 7
{
  "formula": "Tb2TmTl3AgPt2",
  "functional": "PBE",
  "state": "relaxed",
  "final_energy_ev_per_atom": -4.630,
  "space_group": "Amm2, No. 38",
  "cell": [[3.763, 0.000, 0.000], [0.000, 6.851, 3.973], [0.000, -6.851, 3.973]],
  "species": ["Ag", "Pt", "Pt", "Tb", "Tb", "Tl", "Tl", "Tl", "Tm"],
  "fractional_positions": [[0.000, 0.001, 0.001], [0.500, 0.664, 0.334], [0.500, 0.334, 0.664], [0.000, 0.590, 0.000], [0.000, 0.000, 0.590], [0.500, 0.271, 0.001], [0.500, 0.001, 0.271], [0.500, 0.729, 0.729], [0.000, 0.411, 0.411]]
}

***

No. 8
{
  "formula": "Tb2YTl3AgPt2",
  "functional": "PBE",
  "state": "relaxed",
  "final_energy_ev_per_atom": -4.860,
  "space_group": "Amm2, No. 38",
  "cell": [[3.782, 0.000, 0.000], [0.000, 6.883, 3.969], [0.000, -6.883, 3.969]],
  "species": ["Ag", "Pt", "Pt", "Tb", "Tb", "Tl", "Tl", "Tl", "Y"],
  "fractional_positions": [[0.000, 0.000, 0.000], [0.500, 0.667, 0.333], [0.500, 0.333, 0.667], [0.000, 0.590, 0.000], [0.000, 0.000, 0.590], [0.500, 0.270, 0.000], [0.500, 0.000, 0.270], [0.500, 0.730, 0.730], [0.000, 0.410, 0.410]]
}

***

No. 9
{
  "formula": "TcAg2Pt",
  "functional": "PBE",
  "state": "relaxed",
  "e_form_ev_per_fu": 1.77,
  "space_group": "F-43m, No. 216",
  "cell": [[2.261, 1.305, 3.692], [-2.261, 1.305, 3.692], [0.000, -2.611, 3.692]],
  "species": ["Ag", "Ag", "Pt", "Tc"],
  "fractional_positions": [[0.500, 0.500, 0.500], [0.750, 0.750, 0.750], [0.250, 0.250, 0.250], [0.000, 0.000, 0.000]]
}

***

No. 10
{
  "formula": "AgTe2Pt",
  "functional": "PBE",
  "state": "relaxed",
  "final_energy_ev_per_atom": -3.384,
  "space_group": "F-43m, No. 216",
  "cell": [[-3.733, -0.879, 3.205], [-3.503, 3.481, 0.772], [-4.644, -0.707, -1.706]],
  "species": ["Ag", "Pt", "Te", "Te"],
  "fractional_positions": [[0.000, 0.000, 0.000], [0.750, 0.750, 0.750], [0.250, 0.250, 0.250], [0.500, 0.500, 0.500]]
}

***

No. 11
{
  "formula": "TlAg3Te4Pt",
  "functional": "PBE",
  "state": "relaxed",
  "final_energy_ev_per_atom": -3.286,
  "space_group": "P-43m, No. 215",
  "cell": [[-4.517, -3.012, 3.748], [3.693, -5.466, 0.059], [3.078, 2.138, 5.429]],
  "species": ["Ag", "Ag", "Ag", "Pt", "Te", "Te", "Te", "Te", "Tl"],
  "fractional_positions": [[0.500, 0.500, 0.000], [0.500, 0.000, 0.500], [0.000, 0.500, 0.500], [0.500, 0.500, 0.500], [0.265, 0.265, 0.265], [0.735, 0.735, 0.265], [0.735, 0.265, 0.735], [0.265, 0.735, 0.735], [0.000, 0.000, 0.000]]
}

***

No. 12
{
  "formula": "TlAg2Pt",
  "functional": "PBE",
  "state": "relaxed",
  "final_energy_ev_per_atom": -3.458,
  "space_group": "F-43m, No. 216",
  "cell": [[0.000, 3.320, 3.320], [3.320, 0.000, 3.320], [3.320, 3.320, 0.000]],
  "species": ["Ag", "Ag", "Pt", "Tl"],
  "fractional_positions": [[0.000, 0.000, 0.000], [0.750, 0.750, 0.750], [0.250, 0.250, 0.250], [0.500, 0.500, 0.500]]
}

***

| no. | size of the total moment (μB per atom) |
| --- | --- |
| 1 | 0.0002 |
| 2 | 0.0008 |
| 3 | 0.0004 |
| 4 | 0.0008 |
| 5 | 0.0005 |
| 6 | 0.0038 |
| 7 | 0.0036 |
| 8 | 0.0031 |
| 9 | 0.5301 |
| 10 | 0.0001 |
| 11 | 0.0006 |
| 12 | 0.0000 |